PmSc2InAu4: relaxed, PBE-GGA.

Summary:
total magnetic moment	0.0000	μB per atom
crystal system	trigonal
theoretical density	10.934	g cm⁻³
DFT total energy	-4.845	eV/atom

a = 4.7611 Å, b = 4.7611 Å, c = 26.4014 Å
α = 90.00°, β = 90.00°, γ = 120.00°
With the nearest neighbours (Å) after each atom.
Space group R-3m (No. 166, hexagonal axes)
One atom of each set of equivalent atoms:
Pm: 0.0000 0.0000 0.0000  8 Au 3.13-3.15
Sc: 0.0000 0.0000 0.2393  6 Au 2.83-2.92
In: 0.0000 0.0000 0.5000  8 Au 2.91-3.02
Au: 0.0000 0.0000 0.1192  3 Sc 2.83, 3 In 3.02, 1 Pm 3.15
Au: 0.0000 0.0000 0.3898  1 In 2.91, 3 Sc 2.92, 3 Pm 3.13, 3 Au 3.21



PmInSiAu: relaxed, PBE-GGA.

Summary:
total magnetic moment	0.0000	μB per atom
crystal system	cubic
theoretical density	8.984	g cm⁻³
formation energy without anion corrections	-1.288	eV per formula unit

a = 7.1038 Å, b = 7.1038 Å, c = 7.1038 Å
α = 90.00°, β = 90.00°, γ = 90.00°
With the nearest neighbours (Å) after each atom.
Space group F-43m (No. 216)
One atom of each set of equivalent atoms:
Pm: 0.0000 0.0000 0.0000  4 Si 3.08, 4 Au 3.08
In: 0.0000 0.0000 0.5000  4 Au 3.08, 4 Si 3.08
Si: 0.2500 0.2500 0.2500  4 In 3.08, 4 Pm 3.08
Au: 0.2500 0.2500 0.7500  4 In 3.08, 4 Pm 3.08



PmSmInAu: relaxed, PBE-GGA.

Summary:
total magnetic moment	0.0000	μB per atom
crystal system	tetragonal
theoretical density	9.414	g cm⁻³
excess energy over the best structure of this formula in the dataset	0.00	kcal/mol of atoms

a = 3.6838 Å, b = 3.6838 Å, c = 7.8917 Å
α = 90.00°, β = 90.00°, γ = 90.00°
With the nearest neighbours (Å) after each atom.
Space group P4mm (No. 99)
One atom of each set of equivalent atoms:
Pm: 0.0000 0.0000 0.0000  4 Au 3.21, 4 In 3.36
Sm: 0.0000 0.0000 0.5371  4 Au 3.16, 4 In 3.35
In: 0.5000 0.5000 0.2696  4 Sm 3.35, 4 Pm 3.36, 4 In 3.68
Au: 0.5000 0.5000 0.7628  4 Sm 3.16, 4 Pm 3.21



PmSmInAu: relaxed, PBE-GGA.

Summary:
total magnetic moment	0.1148	μB per atom
crystal system	cubic
theoretical density	9.347	g cm⁻³
excess energy over the best structure of this formula in the dataset	1.43	kcal/mol of atoms

a = 7.5562 Å, b = 7.5562 Å, c = 7.5562 Å
α = 90.00°, β = 90.00°, γ = 90.00°
With the nearest neighbours (Å) after each atom.
Space group F-43m (No. 216)
One atom of each set of equivalent atoms:
Pm: 0.0000 0.0000 0.0000  4 Au 3.27, 4 In 3.27
Sm: 0.0000 0.0000 0.5000  4 In 3.27, 4 Au 3.27
In: 0.2500 0.2500 0.7500  4 Pm 3.27, 4 Sm 3.27
Au: 0.2500 0.2500 0.2500  4 Pm 3.27, 4 Sm 3.27



Sr2PmInAu6: relaxed, PBE-GGA.

Summary:
total magnetic moment	0.0000	μB per atom
crystal system	cubic
theoretical density	8.274	g cm⁻³
DFT total energy	-3.264	eV/atom

a = 10.9080 Å, b = 10.9080 Å, c = 10.9080 Å
α = 90.00°, β = 90.00°, γ = 90.00°
With the nearest neighbours (Å) after each atom.
Space group Fm-3m (No. 225)
One atom of each set of equivalent atoms:
Sr: 0.2500 0.2500 0.2500  12 Au 3.86
Pm: 0.0000 0.0000 0.0000  6 Au 2.80
In: 0.0000 0.0000 0.5000  6 Au 2.66
Au: 0.0000 0.0000 0.2563  1 In 2.66, 1 Pm 2.80



SrPmInAu: relaxed, PBE-GGA.

Summary:
total magnetic moment	0.0000	μB per atom
crystal system	cubic
theoretical density	7.885	g cm⁻³
DFT total energy	-3.642	eV/atom

a = 7.7115 Å, b = 7.7115 Å, c = 7.7115 Å
α = 90.00°, β = 90.00°, γ = 90.00°
With the nearest neighbours (Å) after each atom.
Space group F-43m (No. 216)
One atom of each set of equivalent atoms:
Sr: 0.0000 0.0000 0.0000  4 In 3.34, 4 Au 3.34
Pm: 0.0000 0.0000 0.5000  4 In 3.34, 4 Au 3.34
In: 0.2500 0.2500 0.2500  4 Pm 3.34, 4 Sr 3.34
Au: 0.2500 0.2500 0.7500  4 Pm 3.34, 4 Sr 3.34



- Among the records above, which one has the highest theoretical density?
  PmSc2InAu4